Record 1
PuHgAu: optimized geometry, GGA-PBE.

Cell lengths 3.779, 3.779, 5.678 Å; angles 109.44, 109.44, 90.00 degrees
Last column: magnetic moment on the atom in μB.
Fractional coordinates of all 3 atoms:
Au 0.281 0.281 0.563  0.00
Pu 0.944 0.944 0.888  5.41
Hg 0.625 0.625 0.250  0.03

Summary:
Offset from the most stable computed form = 75 meV per atom
Symmetry = I4mm
E = -0.2292 hartree per atom
DFT formation energy = -0.266 eV/atom

Record 2
LaCu2ReOs: optimized geometry, GGA-PBE.

Cell lengths 4.710, 5.133, 4.710 Å; angles 90.00, 90.00, 90.00 degrees
Last column: magnetic moment on the atom in μB.
Fractional coordinates of all 5 atoms:
Os 0.500 0.500 0.500  2.17
Cu 0.000 0.000 0.500  0.11
Cu 0.500 0.000 0.000  0.05
La 0.000 0.500 0.000  -0.05
Re 0.000 0.000 0.000  0.34

Summary:
Symmetry = P4/mmm
E = -0.2069 hartree per atom
DFT formation energy = 1.729 eV/atom

Record 3
LiPmTl: optimized geometry, GGA-PBE.

Cell lengths 4.010, 4.878, 8.028 Å; angles 90.00, 92.76, 90.00 degrees
Fractional coordinates of all 6 atoms:
Tl 0.773 0.750 0.741
Li 0.751 0.250 0.513
Pm 0.271 0.250 0.850
Li 0.249 0.750 0.487
Tl 0.227 0.250 0.259
Pm 0.729 0.750 0.150

Summary:
Offset from the most stable computed form = 14 meV per atom
Symmetry = P2_1/m
E = -0.1206 hartree per atom
DFT formation energy = -0.272 eV/atom

Record 4
SiAgSb2W: optimized geometry, GGA-PBE.

Cell lengths 5.271, 4.753, 5.271 Å; angles 90.00, 90.00, 90.00 degrees
Fractional coordinates of all 5 atoms:
Ag 0.500 0.500 0.500
Sb 0.000 0.000 0.500
Si 0.000 0.500 0.000
W 0.000 0.000 0.000
Sb 0.500 0.000 0.000

Summary:
Formation energy from raw total energies = 682.5 meV per atom
Symmetry = P4/mmm
E = -0.1915 hartree per atom

Record 5
Ho2TmRh2: optimized geometry, GGA-PBE.

Cell lengths 5.555, 5.983, 7.654 Å; angles 113.01, 90.00, 90.00 degrees
Fractional coordinates of all 10 atoms:
Ho 0.250 0.582 0.165
Ho 0.250 0.221 0.442
Rh 0.250 0.133 0.753
Rh 0.750 0.380 0.247
Tm 0.500 0.000 0.000
Tm 0.000 0.000 0.000
Ho 0.750 0.779 0.558
Rh 0.750 0.867 0.247
Rh 0.250 0.620 0.753
Ho 0.750 0.418 0.835

Summary:
Offset from the most stable computed form = 254 meV per atom
Symmetry = Cmcm
E = -0.2258 hartree per atom
DFT formation energy = -0.479 eV/atom

Record 6
MgCdRe4: optimized geometry, GGA-PBE.

Cell lengths 5.274, 5.274, 5.274 Å; angles 60.00, 60.00, 60.00 degrees
Fractional coordinates of all 6 atoms:
Re 0.875 0.375 0.375
Re 0.375 0.375 0.875
Cd 0.750 0.750 0.750
Re 0.375 0.875 0.375
Mg 0.000 0.000 0.000
Re 0.375 0.375 0.375

Summary:
Symmetry = F-43m
E = -0.3049 hartree per atom
DFT formation energy = 0.420 eV/atom

Record 7
AcIn4Sn: optimized geometry, GGA-PBE.

Cell lengths 5.205, 4.677, 7.476 Å; angles 71.77, 90.00, 90.01 degrees
Fractional coordinates of all 6 atoms:
Sn 0.500 0.500 0.000
In 0.500 0.829 0.342
In 0.500 0.171 0.658
In 0.000 0.682 0.636
In 0.000 0.318 0.364
Ac 0.000 0.000 0.000

Summary:
Offset from the most stable computed form = 0 meV per atom
Symmetry = Cmmm
E = -0.1262 hartree per atom
DFT formation energy = -0.258 eV/atom

Record 8
TeHCl2: optimized geometry, GGA-PBE.

Cell lengths 4.910, 4.910, 4.910 Å; angles 60.00, 60.00, 60.00 degrees
Last column: magnetic moment on the atom in μB.
Fractional coordinates of all 4 atoms:
Te 0.500 0.500 0.500  -0.11
H 0.000 0.000 0.000  0.35
Cl 0.250 0.250 0.250  0.00
Cl 0.750 0.750 0.750  0.00

Summary:
Offset from the most stable computed form = 680 meV per atom
Symmetry = Fm-3m
E = -0.0687 hartree per atom

Record 9
Hf4GaTc: optimized geometry, GGA-PBE.

Cell lengths 4.561, 6.042, 4.564 Å; angles 67.78, 90.00, 90.00 degrees
Fractional coordinates of all 6 atoms:
Hf 0.500 0.311 0.844
Hf 0.500 0.689 0.156
Tc 0.000 0.000 0.000
Ga 0.500 0.000 0.500
Hf 0.000 0.312 0.344
Hf 0.000 0.688 0.656

Summary:
Symmetry = Cmmm
E = -0.3369 hartree per atom
DFT formation energy = -0.299 eV/atom

Record 10
YTm2Ag4: optimized geometry, GGA-PBE.

Cell lengths 6.142, 6.142, 6.142 Å; angles 110.76, 108.83, 108.83 degrees
Fractional coordinates of all 7 atoms:
Tm 0.500 0.500 0.000
Ag 0.000 0.500 0.000
Ag 0.500 0.500 0.500
Ag 0.500 0.000 0.000
Ag 0.000 0.000 0.500
Tm 0.500 0.000 0.500
Y 0.000 0.000 0.000

Summary:
Symmetry = I4/mmm
E = -0.1446 hartree per atom
DFT formation energy = -0.104 eV/atom

Record 11
SrMg2ZnH: optimized geometry, GGA-PBE.

Cell lengths 4.646, 4.646, 4.864 Å; angles 90.00, 90.00, 90.00 degrees
Fractional coordinates of all 5 atoms:
Sr 0.000 0.000 0.500
H 0.000 0.000 0.000
Zn 0.500 0.500 0.500
Mg 0.500 0.000 0.000
Mg 0.000 0.500 0.000

Summary:
Symmetry = P4/mmm
E = -0.0718 hartree per atom

Record 12
Pm4PrEr2Tm: optimized geometry, GGA-PBE.

Cell lengths 3.613, 6.228, 11.897 Å; angles 79.88, 90.00, 90.00 degrees
Fractional coordinates of all 8 atoms:
Pm 0.500 0.249 0.748
Pm 0.000 0.751 0.746
Pr 0.500 0.500 0.000
Er 0.500 0.000 0.500
Er 0.000 0.000 0.000
Pm 0.500 0.751 0.252
Tm 0.000 0.500 0.500
Pm 0.000 0.249 0.254

Summary:
Symmetry = P2/m
E = -0.1710 hartree per atom
DFT formation energy = 0.019 eV/atom

Record 13
MnZnBr2: optimized geometry, GGA-PBE.

Cell lengths 5.035, 5.035, 3.535 Å; angles 90.00, 90.00, 89.88 degrees
Last column: magnetic moment on the atom in μB.
Fractional coordinates of all 4 atoms:
Mn 0.500 0.000 0.500  4.27
Br 0.000 0.000 0.000  0.05
Br 0.500 0.500 0.000  0.05
Zn 0.000 0.500 0.500  0.06

Summary:
Formation energy from raw total energies = 153.0 meV per atom
Offset from the most stable computed form = 502 meV per atom
Symmetry = Cmmm
E = -0.1211 hartree per atom

Record 14
LiSeCl2: optimized geometry, GGA-PBE.

Cell lengths 5.047, 5.047, 5.047 Å; angles 60.00, 60.00, 60.00 degrees
Last column: magnetic moment on the atom in μB.
Fractional coordinates of all 4 atoms:
Se 0.750 0.750 0.750  1.13
Cl 0.250 0.250 0.250  0.27
Cl 0.000 0.000 0.000  0.55
Li 0.500 0.500 0.500  0.01

Summary:
Formation energy from raw total energies = -26.8 meV per atom
Offset from the most stable computed form = 774 meV per atom
Symmetry = F-43m
E = -0.0845 hartree per atom

Record 15
Sc2BiRu2: optimized geometry, GGA-PBE.

Cell lengths 4.344, 4.344, 6.320 Å; angles 69.90, 69.90, 90.00 degrees
Fractional coordinates of all 5 atoms:
Ru 0.389 0.389 0.222
Sc 0.750 0.250 0.500
Bi 0.000 0.000 0.000
Ru 0.611 0.611 0.778
Sc 0.250 0.750 0.500

Summary:
Offset from the most stable computed form = 290 meV per atom
Symmetry = I4/mmm
E = -0.2563 hartree per atom
DFT formation energy = 0.046 eV/atom

Record 16
LiMo2As: optimized geometry, GGA-PBE.

Cell lengths 4.155, 3.764, 3.764 Å; angles 90.00, 90.00, 90.00 degrees
Fractional coordinates of all 4 atoms:
Mo 0.000 0.500 0.500
Li 0.500 0.000 0.500
As 0.500 0.500 0.000
Mo 0.000 0.000 0.000

Summary:
Symmetry = P4/mmm
E = -0.2529 hartree per atom
DFT formation energy = 0.174 eV/atom

Record 17
LiYOs2: optimized geometry, GGA-PBE.

Cell lengths 4.544, 4.544, 5.486 Å; angles 80.18, 80.18, 39.43 degrees
Fractional coordinates of all 4 atoms:
Li 0.739 0.739 0.796
Os 0.254 0.254 0.171
Y 0.512 0.512 0.511
Os 0.996 0.996 0.023

Summary:
Offset from the most stable computed form = 51 meV per atom
Symmetry = Cm
E = -0.2742 hartree per atom
DFT formation energy = 0.247 eV/atom

Record 18
GeAuS2: optimized geometry, GGA-PBE.

Cell lengths 5.633, 5.633, 7.156 Å; angles 66.82, 66.82, 90.00 degrees
Fractional coordinates of all 8 atoms:
Ge 0.500 0.500 0.000
S 0.141 0.625 0.250
Au 0.750 0.250 0.500
Ge 0.250 0.750 0.500
S 0.875 0.859 0.750
S 0.375 0.391 0.750
Au 0.000 0.000 0.000
S 0.609 0.125 0.250

Summary:
Formation energy from raw total energies = 34.1 meV per atom
Symmetry = I-42d
E = -0.1471 hartree per atom

Record 19
Sm2HgO2: optimized geometry, GGA-PBE.

Cell lengths 4.090, 4.090, 6.763 Å; angles 107.60, 107.60, 90.00 degrees
Fractional coordinates of all 5 atoms:
Sm 0.660 0.660 0.319
O 0.750 0.250 0.500
Hg 0.000 0.000 0.000
O 0.250 0.750 0.500
Sm 0.340 0.340 0.681

Summary:
Formation energy from raw total energies = -2435.3 meV per atom
Symmetry = I4/mmm
E = -0.2340 hartree per atom

Record 20
BaHoBS4: optimized geometry, GGA-PBE.

Cell lengths 6.141, 6.424, 8.362 Å; angles 90.00, 108.23, 90.00 degrees
Fractional coordinates of all 14 atoms:
S 0.603 0.250 0.835
S 0.990 0.010 0.722
Ho 0.771 0.750 0.449
B 0.789 0.250 0.681
Ba 0.281 0.250 0.074
Ba 0.719 0.750 0.926
Ho 0.229 0.250 0.551
S 0.010 0.510 0.278
S 0.990 0.490 0.722
S 0.010 0.990 0.278
S 0.395 0.750 0.554
S 0.605 0.250 0.446
S 0.397 0.750 0.165
B 0.211 0.750 0.319

Summary:
Formation energy from raw total energies = -1528.2 meV per atom
Symmetry = P2_1/m
E = -0.2120 hartree per atom

Record 21
Ti3TcTe: optimized geometry, GGA-PBE.

Cell lengths 4.729, 4.729, 4.729 Å; angles 90.00, 90.00, 90.00 degrees
Fractional coordinates of all 5 atoms:
Ti 0.000 0.500 0.000
Tc 0.000 0.000 0.000
Ti 0.000 0.000 0.500
Ti 0.500 0.000 0.000
Te 0.500 0.500 0.500

Summary:
Formation energy from raw total energies = 292.5 meV per atom
Offset from the most stable computed form = 0 meV per atom
Symmetry = Pm-3m
E = -0.2626 hartree per atom

Record 22
Al4Ag3: optimized geometry, GGA-PBE.

Cell lengths 2.926, 16.102, 2.926 Å; angles 95.21, 60.00, 95.21 degrees
Fractional coordinates of all 7 atoms:
Al 0.286 0.857 0.286
Ag 0.716 0.148 0.716
Ag 0.999 0.996 0.999
Al 0.857 0.570 0.857
Ag 0.143 0.429 0.143
Al 0.571 0.714 0.571
Al 0.429 0.287 0.429

Summary:
Offset from the most stable computed form = 27 meV per atom
Symmetry = R3m
E = -0.1242 hartree per atom
DFT formation energy = -0.018 eV/atom

Record 23
Na4Ti6O13: optimized geometry, GGA-PBE.

Cell lengths 7.490, 7.490, 9.160 Å; angles 89.59, 89.59, 30.84 degrees
Fractional coordinates of all 23 atoms:
O 0.388 0.388 0.149
O 0.816 0.816 0.948
Ti 0.830 0.830 0.463
Na 0.607 0.607 0.104
Ti 0.891 0.891 0.131
O 0.000 0.000 0.000
O 0.762 0.762 0.245
O 0.868 0.868 0.653
O 0.184 0.184 0.052
Ti 0.170 0.170 0.537
O 0.307 0.307 0.446
Ti 0.251 0.251 0.218
O 0.693 0.693 0.554
O 0.933 0.933 0.343
Na 0.487 0.487 0.650
O 0.612 0.612 0.851
Na 0.513 0.513 0.350
Ti 0.109 0.109 0.869
Ti 0.749 0.749 0.782
O 0.067 0.067 0.657
O 0.132 0.132 0.347
Na 0.393 0.393 0.896
O 0.238 0.238 0.755

Summary:
Formation energy from raw total energies = -2619.1 meV per atom
Symmetry = C2/m
E = -0.2834 hartree per atom

Record 24
MgSnPb: optimized geometry, GGA-PBE.

Cell lengths 3.948, 3.948, 10.393 Å; angles 90.00, 90.00, 90.00 degrees
Fractional coordinates of all 6 atoms:
Pb 0.000 0.500 0.896
Sn 0.500 0.000 0.715
Mg 0.500 0.000 0.420
Mg 0.000 0.500 0.580
Pb 0.500 0.000 0.104
Sn 0.000 0.500 0.285

Summary:
Offset from the most stable computed form = 11 meV per atom
Symmetry = P4/nmm
E = -0.1148 hartree per atom
DFT formation energy = -0.022 eV/atom

Record 25
LaYSn3: optimized geometry, GGA-PBE.

Cell lengths 5.809, 5.809, 5.809 Å; angles 90.00, 90.00, 90.00 degrees
Fractional coordinates of all 5 atoms:
Y 0.500 0.500 0.500
La 0.000 0.000 0.000
Sn 0.000 0.000 0.500
Sn 0.500 0.000 0.000
Sn 0.000 0.500 0.000

Summary:
Symmetry = Pm-3m
E = -0.1552 hartree per atom
DFT formation energy = 0.456 eV/atom

Record 26
Ni2TeOs: optimized geometry, GGA-PBE.

Cell lengths 3.117, 4.370, 4.452 Å; angles 74.09, 90.00, 90.00 degrees
Fractional coordinates of all 4 atoms:
Ni 0.500 0.000 0.500
Te 0.000 0.500 0.500
Ni 0.000 0.000 0.000
Os 0.500 0.500 0.000

Summary:
Formation energy from raw total energies = 481.3 meV per atom
Symmetry = P2/m
E = -0.2206 hartree per atom

| no. | theoretical density (g cm⁻³) |
| --- | --- |
| 1 | 14.893 |
| 2 | 9.369 |
| 3 | 7.545 |
| 4 | 7.084 |
| 5 | 9.993 |
| 6 | 14.109 |
| 7 | 7.733 |
| 8 | 3.957 |
| 9 | 12.574 |
| 10 | 7.993 |
| 11 | 3.206 |
| 12 | 7.715 |
| 13 | 5.190 |
| 14 | 2.864 |
| 15 | 7.981 |
| 16 | 7.721 |
| 17 | 11.179 |
| 18 | 5.876 |
| 19 | 8.660 |
| 20 | 4.677 |
| 21 | 5.796 |
| 22 | 6.034 |
| 23 | 3.701 |
| 24 | 7.179 |
| 25 | 4.947 |
| 26 | 12.389 |